# Sr4MgCr2S2O6 GGA+U optimized geometry
# total energy	-6.337	eV/atom
data_Sr4MgCr2S2O6
_cell_length_a 3.946
_cell_length_b 3.946
_cell_length_c 15.950
_cell_angle_alpha 90.00
_cell_angle_beta 90.00
_cell_angle_gamma 90.00
_space_group_name_H-M_alt 'P -4 m 2'
_space_group_IT_number 115
loop_
_space_group_symop_operation_xyz
'x,y,z'
'y,-x,-z'
'-x,-y,z'
'-y,x,-z'
'-x,y,z'
'-y,-x,-z'
'x,-y,z'
'y,x,-z'
loop_
_atom_site_label
_atom_site_fract_x
_atom_site_fract_y
_atom_site_fract_z
Sr1 0.000 0.500 0.086
Sr2 0.000 0.500 0.308
Mg1 0.000 0.000 0.500
Cr1 0.000 0.500 0.811
S1 0.000 0.500 0.597
O1 0.000 0.000 0.208
O2 0.000 0.500 0.932
O3 0.500 0.500 0.207